[1]
ErMg2Au3: relaxed, PBE.

a b c (Å): 3.3878 3.3878 10.2697
angles (deg): 90.00 90.00 90.00
Last column: nearest neighbours and their distance in Å.
Positions (direct):
Er: 0.0000 0.0000 0.0000  8 Au 3.05, 4 Er 3.39
Mg: 0.0000 0.0000 0.3434  8 Au 2.89-2.90, 1 Mg 3.22
Mg: 0.0000 0.0000 0.6566  8 Au 2.89-2.90, 1 Mg 3.22
Au: 0.5000 0.5000 0.1837  4 Mg 2.90, 4 Er 3.05, 1 Au 3.25
Au: 0.5000 0.5000 0.5000  8 Mg 2.89
Au: 0.5000 0.5000 0.8163  4 Mg 2.90, 4 Er 3.05, 1 Au 3.25

Properties
The value obtained for the energy above the most stable polymorph in this dataset is 0.015 eV/atom. Its total energy is -3.63 eV per atom. For the formation energy, the calculation gives -0.6983 eV per atom. As for the volume: 19.6 Å³ per atom. The space-group type is P4/mmm, No. 123.



[2]
LuScAl: relaxed, PBE.

a b c (Å): 6.8268 6.8268 6.8268
angles (deg): 152.26 152.26 39.64
Last column: nearest neighbours and their distance in Å.
Positions (direct):
Lu: 0.0000 0.0000 0.0000  4 Al 3.10, 4 Lu 3.27, 4 Sc 3.41
Sc: 0.6944 0.6944 0.0000  4 Al 2.97, 4 Sc 3.27
Al: 0.3399 0.3399 0.0000  4 Sc 2.97, 4 Lu 3.10, 4 Al 3.27

Properties
The value obtained for the energy above the most stable polymorph in this dataset is 0.000 eV/atom. Its total energy is -5.14 eV per atom. For the formation energy, the calculation gives -0.2776 eV per atom. As for the volume: 22.9 Å³ per atom. The space-group type is I4mm, No. 107.



[3]
Pm12Pd5Pb3: relaxed, PBE.

a b c (Å): 15.2497 15.2497 15.2497
angles (deg): 109.47 109.47 109.47
Last column: nearest neighbours and their distance in Å.
Positions (direct):
Pm: 0.0378 0.2104 0.1226  2 Pd 2.75-2.86
Pm: 0.0378 0.3275 0.9152  2 Pd 2.75-2.86
Pm: 0.0848 0.6226 0.4122  2 Pd 2.75-2.86
Pm: 0.0848 0.9622 0.6725  2 Pd 2.75-2.86
Pm: 0.0878 0.7104 0.6725  2 Pd 2.75-2.86
Pm: 0.0878 0.8774 0.4152  2 Pd 2.75-2.86
Pm: 0.1226 0.0378 0.2104  2 Pd 2.75-2.86
Pm: 0.1226 0.5848 0.9122  2 Pd 2.75-2.86
Pm: 0.1725 0.2104 0.5878  2 Pd 2.75-2.86
Pm: 0.1725 0.4622 0.5848  2 Pd 2.75-2.86
Pm: 0.2104 0.1226 0.0378  2 Pd 2.75-2.86
Pm: 0.2104 0.5878 0.1725  2 Pd 2.75-2.86
Pm: 0.2896 0.3275 0.9122  2 Pd 2.75-2.86
Pm: 0.2896 0.4622 0.3774  2 Pd 2.75-2.86
Pm: 0.3275 0.9122 0.2896  2 Pd 2.75-2.86
Pm: 0.3275 0.9152 0.0378  2 Pd 2.75-2.86
Pm: 0.3774 0.2896 0.4622  2 Pd 2.75-2.86
Pm: 0.3774 0.5878 0.9152  2 Pd 2.75-2.86
Pm: 0.4122 0.0848 0.6226  2 Pd 2.75-2.86
Pm: 0.4122 0.8275 0.7896  2 Pd 2.75-2.86
Pm: 0.4152 0.0878 0.8774  2 Pd 2.75-2.86
Pm: 0.4152 0.8275 0.5379  2 Pd 2.75-2.86
Pm: 0.4622 0.3774 0.2896  2 Pd 2.75-2.86
Pm: 0.4622 0.5848 0.1725  2 Pd 2.75-2.86
Pm: 0.5379 0.4152 0.8275  2 Pd 2.75-2.86
Pm: 0.5379 0.6226 0.7104  2 Pd 2.75-2.86
Pm: 0.5848 0.1725 0.4622  2 Pd 2.75-2.86
Pm: 0.5848 0.9122 0.1226  2 Pd 2.75-2.86
Pm: 0.5878 0.1725 0.2104  2 Pd 2.75-2.86
Pm: 0.5878 0.9152 0.3774  2 Pd 2.75-2.86
Pm: 0.6226 0.4122 0.0848  2 Pd 2.75-2.86
Pm: 0.6226 0.7104 0.5379  2 Pd 2.75-2.86
Pm: 0.6725 0.0848 0.9622  2 Pd 2.75-2.86
Pm: 0.6725 0.0878 0.7104  2 Pd 2.75-2.86
Pm: 0.7104 0.5379 0.6226  2 Pd 2.75-2.86
Pm: 0.7104 0.6725 0.0878  2 Pd 2.75-2.86
Pm: 0.7896 0.4122 0.8275  2 Pd 2.75-2.86
Pm: 0.7896 0.8774 0.9622  2 Pd 2.75-2.86
Pm: 0.8275 0.5379 0.4152  2 Pd 2.75-2.86
Pm: 0.8275 0.7896 0.4122  2 Pd 2.75-2.86
Pm: 0.8774 0.4152 0.0878  2 Pd 2.75-2.86
Pm: 0.8774 0.9622 0.7896  2 Pd 2.75-2.86
Pm: 0.9122 0.1226 0.5848  2 Pd 2.75-2.86
Pm: 0.9122 0.2896 0.3275  2 Pd 2.75-2.86
Pm: 0.9152 0.0378 0.3275  2 Pd 2.75-2.86
Pm: 0.9152 0.3774 0.5878  2 Pd 2.75-2.86
Pm: 0.9622 0.6725 0.0848  2 Pd 2.75-2.86
Pm: 0.9622 0.7896 0.8774  2 Pd 2.75-2.86
Pd: 0.0000 0.0000 0.0000  6 Pm 2.86
Pd: 0.0000 0.0000 0.5000  6 Pm 2.86
Pd: 0.0000 0.5000 0.0000  6 Pm 2.86
Pd: 0.0000 0.5000 0.5000  6 Pm 2.86
Pd: 0.1250 0.7500 0.8750  4 Pm 2.75
Pd: 0.1250 0.8750 0.2500  4 Pm 2.75
Pd: 0.2500 0.1250 0.8750  4 Pm 2.75
Pd: 0.2500 0.6250 0.3750  4 Pm 2.75
Pd: 0.3750 0.2500 0.6250  4 Pm 2.75
Pd: 0.3750 0.6250 0.7500  4 Pm 2.75
Pd: 0.5000 0.0000 0.0000  6 Pm 2.86
Pd: 0.5000 0.0000 0.5000  6 Pm 2.86
Pd: 0.5000 0.5000 0.0000  6 Pm 2.86
Pd: 0.5000 0.5000 0.5000  6 Pm 2.86
Pd: 0.6250 0.3750 0.2500  4 Pm 2.75
Pd: 0.6250 0.7500 0.3750  4 Pm 2.75
Pd: 0.7500 0.3750 0.6250  4 Pm 2.75
Pd: 0.7500 0.8750 0.1250  4 Pm 2.75
Pd: 0.8750 0.1250 0.7500  4 Pm 2.75
Pd: 0.8750 0.2500 0.1250  4 Pm 2.75
Pb: 0.1250 0.2500 0.3750  8 Pm 3.35-3.38
Pb: 0.1250 0.3750 0.7500  8 Pm 3.35-3.38
Pb: 0.2500 0.3750 0.1250  8 Pm 3.35-3.38
Pb: 0.2500 0.8750 0.6250  8 Pm 3.35-3.38
Pb: 0.3750 0.1250 0.2500  8 Pm 3.35-3.38
Pb: 0.3750 0.7500 0.1250  8 Pm 3.35-3.38
Pb: 0.6250 0.2500 0.8750  8 Pm 3.35-3.38
Pb: 0.6250 0.8750 0.7500  8 Pm 3.35-3.38
Pb: 0.7500 0.1250 0.3750  8 Pm 3.35-3.38
Pb: 0.7500 0.6250 0.8750  8 Pm 3.35-3.38
Pb: 0.8750 0.6250 0.2500  8 Pm 3.35-3.38
Pb: 0.8750 0.7500 0.6250  8 Pm 3.35-3.38

Properties
Its total energy is -4.97 eV per atom. For the formation energy, the calculation gives -0.2628 eV per atom. As for the volume: 34.1 Å³ per atom. The space-group type is Ia-3d, No. 230.



[4]
Sc2AuSe2: relaxed, PBE.

a b c (Å): 6.8033 6.8033 6.8033
angles (deg): 140.40 140.40 57.24
Last column: nearest neighbours and their distance in Å.
Positions (direct):
Sc: 0.1395 0.1395 0.0000  4 Se 2.66
Sc: 0.8605 0.8605 0.0000  4 Se 2.66
Au: 0.5000 0.5000 0.0000  8 Sc 3.66, 8 Se 3.77
Se: 0.2500 0.7500 0.5000  4 Sc 2.66
Se: 0.7500 0.2500 0.5000  4 Sc 2.66

Properties
The value obtained for the energy above the most stable polymorph in this dataset is 0.377 eV/atom. Its total energy is -5.36 eV per atom. The raw formation energy comes out at -774 meV per atom. As for the volume: 25.4 Å³ per atom. The space-group type is I4/mmm, No. 139.



[5]
LiCa3Pb: relaxed, PBE.

a b c (Å): 5.6179 5.6179 5.6179
angles (deg): 90.00 90.00 90.00
Last column: nearest neighbours and their distance in Å.
Positions (direct):
Li: 0.0000 0.0000 0.0000  6 Ca 2.81
Ca: 0.0000 0.0000 0.5000  2 Li 2.81
Ca: 0.0000 0.5000 0.0000  2 Li 2.81
Ca: 0.5000 0.0000 0.0000  2 Li 2.81
Pb: 0.5000 0.5000 0.5000  12 Ca 3.97

Properties
The value obtained for the energy above the most stable polymorph in this dataset is 0.448 eV/atom. Its total energy is -2.19 eV per atom. For the formation energy, the calculation gives 0.1381 eV per atom. As for the volume: 35.5 Å³ per atom. The space-group type is Pm-3m, No. 221.



[6]
CuNiSe2: relaxed, PBE.

a b c (Å): 4.4611 4.0924 4.0924
angles (deg): 69.79 90.00 90.00
Last column: nearest neighbours and their distance in Å.
Positions (direct):
Cu: 0.0000 0.0000 0.0000  5 Se 2.43-2.52, 2 Ni 2.66
Ni: 0.5000 0.2165 0.2165  5 Se 2.44-2.50, 2 Cu 2.66
Se: 0.0000 0.3626 0.3626  3 Cu 2.43-2.52, 2 Ni 2.44
Se: 0.5000 0.8456 0.8456  2 Cu 2.46, 3 Ni 2.49-2.50

Properties
Its total energy is -4.35 eV per atom. The raw formation energy comes out at -137 meV per atom. As for the volume: 17.5 Å³ per atom. The space-group type is Amm2, No. 38.